No. 1
A relaxed structure of Na5Tl6Pt. Source: the Alexandria database, functional PBE.

Unit cell a=6.1479 b=6.1479 c=10.0583 alpha=95.46 beta=95.46 gamma=119.04
Element x y z (fractional)
1 Na 0.0000 0.0000 0.0000
2 Na 0.1692 0.8308 0.5000
3 Na 0.3283 0.6717 0.0000
4 Na 0.6717 0.3283 0.0000
5 Na 0.8308 0.1692 0.5000
6 Tl 0.1147 0.4224 0.2649
7 Tl 0.2670 0.2670 0.7345
8 Tl 0.4224 0.1147 0.2649
9 Tl 0.5776 0.8853 0.7351
10 Tl 0.7330 0.7330 0.2655
11 Tl 0.8853 0.5776 0.7351
12 Pt 0.5000 0.5000 0.5000

Properties
Calculated formation energy = -0.073 eV/atom
Total magnetization = 0.0 μB/cell


No. 2
A relaxed structure of Cd3TeSe. Source: the Alexandria database, functional PBE.

Unit cell a=5.5965 b=5.5965 c=5.5965 alpha=90.00 beta=90.00 gamma=90.00
Element x y z (fractional)
1 Cd 0.0000 0.0000 0.5000
2 Cd 0.0000 0.5000 0.0000
3 Cd 0.5000 0.0000 0.0000
4 Te 0.0000 0.0000 0.0000
5 Se 0.5000 0.5000 0.5000

Properties
Distance to the lowest polymorph of the same formula = 248 meV/atom
ΔE_f (raw) = 0.32 eV per atom
Total magnetization = 0.0 μB/cell


No. 3
A relaxed structure of Tm4HgPd2. Source: the Alexandria database, functional PBE.

Unit cell a=10.1423 b=10.1423 c=10.1423 alpha=26.38 beta=26.38 gamma=26.38
Element x y z (fractional)
1 Tm 0.1145 0.1145 0.1145
2 Tm 0.2983 0.2983 0.2983
3 Tm 0.7017 0.7017 0.7017
4 Tm 0.8855 0.8855 0.8855
5 Hg 0.5000 0.5000 0.5000
6 Pd 0.4001 0.4001 0.4001
7 Pd 0.5999 0.5999 0.5999

Properties
Calculated formation energy = -0.525 eV/atom
Distance to the lowest polymorph of the same formula = 87 meV/atom
Total magnetization = 0.0 μB/cell


No. 4
A relaxed structure of K3Tb2BiS6. Source: the Alexandria database, functional PBE.

Unit cell a=7.1118 b=7.1118 c=7.7459 alpha=98.80 beta=98.80 gamma=120.00
Element x y z (fractional)
1 K 0.0000 0.0000 0.0000
2 K 0.3356 0.6644 0.0000
3 K 0.6644 0.3356 0.0000
4 Tb 0.1669 0.8331 0.5000
5 Tb 0.8331 0.1669 0.5000
6 Bi 0.5000 0.5000 0.5000
7 S 0.0908 0.4316 0.2951
8 S 0.2272 0.2272 0.7044
9 S 0.4316 0.0908 0.2951
10 S 0.5684 0.9092 0.7049
11 S 0.7728 0.7728 0.2956
12 S 0.9092 0.5684 0.7049

Properties
ΔE_f (raw) = -1.53 eV per atom
Total magnetization = 0.0 μB/cell


No. 5
A relaxed structure of Ac8Ag2Ru3. Source: the Alexandria database, functional PBE.

Unit cell a=8.5377 b=8.5377 c=7.5198 alpha=90.22 beta=90.22 gamma=61.19
Element x y z (fractional)
1 Ac 0.1084 0.1084 0.8359
2 Ac 0.1395 0.6466 0.6713
3 Ac 0.3534 0.8605 0.3287
4 Ac 0.3851 0.3851 0.1463
5 Ac 0.6149 0.6149 0.8537
6 Ac 0.6466 0.1395 0.6713
7 Ac 0.8605 0.3534 0.3287
8 Ac 0.8916 0.8916 0.1641
9 Ag 0.2500 0.2500 0.4978
10 Ag 0.7500 0.7500 0.5022
11 Ru 0.0000 0.0000 0.5000
12 Ru 0.2603 0.7397 0.0000
13 Ru 0.7397 0.2603 0.0000

Properties
Calculated formation energy = -0.161 eV/atom
Total magnetization = 0.0 μB/cell


No. 6
A relaxed structure of Ge2SbAu. Source: the Alexandria database, functional PBE.

Unit cell a=4.9343 b=4.9343 c=4.9343 alpha=60.00 beta=60.00 gamma=60.00
Element x y z (fractional)
1 Ge 0.2500 0.2500 0.2500
2 Ge 0.7500 0.7500 0.7500
3 Sb 0.0000 0.0000 0.0000
4 Au 0.5000 0.5000 0.5000

Properties
Distance to the lowest polymorph of the same formula = 158 meV/atom
ΔE_f (raw) = 0.27 eV per atom
Total magnetization = 0.0 μB/cell